Computed, not measured: a relaxed structure of CaPm5Tl4 at the PBE level of DFT.

Cell lengths 7.630, 10.619, 8.739 Å; angles 90.00, 90.00, 90.00 degrees
Atoms (fractional coordinates):
1 Ca 0.250 0.250 0.237
2 Ca 0.750 0.750 0.763
3 Pm 0.003 0.052 0.713
4 Pm 0.003 0.448 0.713
5 Pm 0.250 0.750 0.893
6 Pm 0.497 0.052 0.713
7 Pm 0.497 0.448 0.713
8 Pm 0.503 0.552 0.287
9 Pm 0.503 0.948 0.287
10 Pm 0.750 0.250 0.107
11 Pm 0.997 0.552 0.287
12 Pm 0.997 0.948 0.287
13 Tl 0.054 0.750 0.551
14 Tl 0.250 0.032 0.006
15 Tl 0.250 0.468 0.006
16 Tl 0.446 0.750 0.551
17 Tl 0.554 0.250 0.449
18 Tl 0.750 0.532 0.994
19 Tl 0.750 0.968 0.994
20 Tl 0.946 0.250 0.449

Calculated values
ΔE to the lowest computed polymorph: 0.260 eV per atom
N(E_F): 11.0 states/eV/f.u.
Theoretical density: 7.4 Mg/m³
Energy relative to the elements: -0.021 eV per atom
V: 35.404 A^3/atom
Total moment: 0.000 μB per atom